Here is a relaxed LaPmScGa crystal from Alexandria. Energies are from PBE.

```
LaPmScGa
1.0
-0.254 1.045 -5.259
3.894 -1.720 -3.269
-0.975 -3.968 -3.481
Sc Ga La Pm
1 1 1 1
direct
0.750 0.750 0.750
0.250 0.250 0.250
0.000 0.000 0.000
0.500 0.500 0.500
```

Density = 6.05 g/cm³
Energy of formation = -152 meV/atom
M_tot = 1.1 μB/f.u.